Here is a relaxed AgBiS2N crystal from Alexandria via LeMat-Bulk. Energies are from PBE-GGA.

a = 5.265 Å, b = 5.265 Å, c = 4.471 Å
α = 90.00°, β = 90.00°, γ = 90.00°
Site moments in Bohr magnetons follow the coordinates.
Sites, in units of the cell vectors:
S  0.000  0.500  0.000  0.17
S  0.500  0.000  0.000  0.17
Bi  0.000  0.000  0.000  -0.05
Ag  0.500  0.500  0.500  0.02
N  0.000  0.000  0.500  1.00

Values from the calculation:
Energy relative to the lowest polymorph listed for this composition = 0.177 eV per atom
Energy relative to the elements, uncorrected = 1.095 eV per atom



Here is a relaxed TaCoHRh2 crystal from Alexandria via LeMat-Bulk. Energies are from PBE-GGA.

a = 3.902 Å, b = 3.902 Å, c = 3.811 Å
α = 90.00°, β = 90.00°, γ = 90.00°
Site moments in Bohr magnetons follow the coordinates.
Sites, in units of the cell vectors:
Co  0.000  0.000  0.500  0.70
Rh  0.000  0.500  0.000  0.15
Rh  0.500  0.000  0.000  0.15
H  0.000  0.000  0.000  0.00
Ta  0.500  0.500  0.500  -0.13

Values from the calculation:
Energy relative to the lowest polymorph listed for this composition = 0.000 eV per atom



Here is a relaxed CsAgP2Cl crystal from Alexandria via LeMat-Bulk. Energies are from PBE-GGA.

a = 6.015 Å, b = 6.015 Å, c = 6.184 Å
α = 90.00°, β = 90.00°, γ = 90.00°
Site moments in Bohr magnetons follow the coordinates.
Sites, in units of the cell vectors:
Cs  0.000  0.000  0.000  0.00
P  0.000  0.500  0.000  0.65
P  0.500  0.000  0.000  0.65
Ag  0.500  0.500  0.500  -0.07
Cl  0.000  0.000  0.500  0.07

Values from the calculation:
Energy relative to the lowest polymorph listed for this composition = 1.200 eV per atom
Energy relative to the elements, uncorrected = 1.335 eV per atom



Here is a relaxed RbTe2F crystal from Alexandria via LeMat-Bulk. Energies are from PBE-GGA.

a = 6.989 Å, b = 6.989 Å, c = 6.989 Å
α = 42.53°, β = 42.53°, γ = 42.53°
Sites, in units of the cell vectors:
Te  0.817  0.817  0.817
Te  0.183  0.183  0.183
Rb  0.000  0.000  0.000
F  0.500  0.500  0.500

Values from the calculation:
Energy relative to the lowest polymorph listed for this composition = 0.234 eV per atom
Energy relative to the elements, uncorrected = -0.908 eV per atom



Here is a relaxed Rb2LaCl5 crystal from Alexandria via LeMat-Bulk. Energies are from PBE-GGA.

a = 8.811 Å, b = 8.813 Å, c = 8.954 Å
α = 124.29°, β = 124.27°, γ = 99.43°
Sites, in units of the cell vectors:
Rb  0.147  0.772  0.484
Rb  0.772  0.147  0.484
La  0.899  0.899  0.863
Cl  0.730  0.141  0.859
Cl  0.404  0.404  0.387
Cl  0.965  0.965  0.241
Cl  0.141  0.730  0.859
Cl  0.719  0.719  0.377

Values from the calculation:
Energy relative to the lowest polymorph listed for this composition = 0.066 eV per atom
Energy relative to the elements, uncorrected = -2.163 eV per atom



Here is a relaxed MnGaBi2 crystal from Alexandria via LeMat-Bulk. Energies are from PBE-GGA.

a = 3.365 Å, b = 3.365 Å, c = 11.375 Å
α = 81.49°, β = 81.49°, γ = 60.00°
Site moments in Bohr magnetons follow the coordinates.
Sites, in units of the cell vectors:
Mn  0.000  0.000  0.000  3.98
Bi  0.084  0.084  0.748  0.01
Bi  0.916  0.916  0.252  0.01
Ga  0.500  0.500  0.500  0.00

Values from the calculation:
Formation energy from the elements = 0.479 eV/atom



no.,total DFT energy (no corrections) (eV/cell),magnetic moment (Bohr magnetons per cell)
1,-17.84,1.96
2,-38.92,0.77
3,-9.69,2.96
4,-12.76,0.00
5,-33.40,0.00
6,-18.04,4.35